Compound: K2NaZnB5O10
Source: the Alexandria database
Functional: SCAN
Structure: single point on PBEsol structure

Computed properties:
formation energy (no corrections) = -2.4690 eV/atom
magnetization = 0.0 μB/f.u.

Cell: 7.9743 12.9555 19.3658 Å, 90.00 99.72 90.00°
Closest atoms and distances in Å follow each position.
Space group C2/c (No. 15)
Unique sites:
K1 0.0458 0.0837 0.4224  5 O 2.61-2.88
K2 0.0944 0.4066 0.9384  6 O 2.66-2.91
Na1 0.0000 0.1470 0.7500  6 O 2.42-2.50
Na2 0.0000 0.3521 0.2500  6 O 2.43-2.61
Zn1 0.1984 0.3444 0.1109  4 O 1.95-1.98
B1 0.0296 0.1580 0.5825  3 O 1.35-1.41
B2 0.1606 0.3427 0.4156  3 O 1.35-1.42
B3 0.2161 0.2741 0.6688  4 O 1.46-1.48
B4 0.2336 0.1725 0.2032  3 O 1.34-1.41
B5 0.2351 0.4616 0.7061  3 O 1.34-1.41
O1 0.0271 0.3812 0.4414  1 B 1.35
O2 0.0533 0.2259 0.6381  2 B 1.38-1.47
O3 0.1249 0.1215 0.9462  1 B 1.35
O4 0.1427 0.2726 0.3610  2 B 1.38-1.48
O5 0.1739 0.1230 0.5556  2 B 1.41-1.42
O6 0.2086 0.1980 0.1351  1 B 1.34
O7 0.2085 0.3861 0.6544  2 B 1.39-1.48
O8 0.2375 0.0678 0.2227  2 B 1.41
O9 0.2378 0.4371 0.1919  1 B 1.34
O10 0.2463 0.2542 0.7441  2 B 1.38-1.46